Computed, not measured: crystalline RbAc2BiO5 at its relaxed geometry at the GGA-PBE level of DFT.

Electronic total energy in eV/atom: -6.50
Formation energy without anion corrections in eV/atom: -2.2890

Lattice parameters (Å, degrees): 8.363 8.363 8.363 128.06 128.06 76.53
Atoms (fractional coordinates):
1 Rb 0.250 0.250 0.000
2 Rb 0.750 0.750 0.000
3 Ac 0.182 0.682 0.865
4 Ac 0.318 0.182 0.500
5 Ac 0.682 0.818 0.500
6 Ac 0.818 0.318 0.135
7 Bi 0.250 0.750 0.500
8 Bi 0.750 0.250 0.500
9 O 0.000 0.000 0.000
10 O 0.021 0.234 0.500
11 O 0.234 0.734 0.212
12 O 0.266 0.479 0.500
13 O 0.479 0.979 0.212
14 O 0.500 0.500 0.000
15 O 0.521 0.021 0.788
16 O 0.734 0.521 0.500
17 O 0.766 0.266 0.788
18 O 0.979 0.766 0.500